Below is a relaxed structure of Cd3Ag2, with properties calculated at the PBE-GGA level.

The structure in extended XYZ format:
```
5
Lattice="12.9895 0.0972 0.0567 12.6180 3.0861 0.0567 12.6180 1.5685 2.6583" Properties=species:S:1:pos:R:3 pbc="T T T"
Cd 7.8368 0.9742 0.5682
Cd 30.3887 3.7776 2.2035
Cd 0.0000 0.0000 0.0000
Ag 23.0370 2.8637 1.6704
Ag 15.1885 1.8881 1.1013
```

Results
The energy of formation from the pure elements comes out at -0.03 eV/atom. Its space group is R-3m, No. 166. The energy above the lowest structure with this stoichiometry is 10 meV per atom.